Entry 1:
This record from the Alexandria database describes a relaxed structure of Ag2Cl3O2. The functional is PBE.

a = 3.7118 Å, b = 8.7671 Å, c = 6.6392 Å
α = 105.25°, β = 74.02°, γ = 112.51°
Site moments in Bohr magnetons follow the coordinates.
Atoms (fractional coordinates):
Ag (0.0561, 0.9053, 0.7142)  0.00
Ag (0.9439, 0.0947, 0.2858)  0.00
Cl (0.5000, 0.0000, 0.0000)  0.00
Cl (0.5667, 0.7838, 0.4703)  0.00
Cl (0.4333, 0.2162, 0.5297)  0.00
O (0.1021, 0.5330, 0.9224)  0.81
O (0.8979, 0.4670, 0.0776)  0.81

## Properties
density of states at the Fermi level = 2.49 states/eV/cell
uncorrected energy = -3.283 eV per atom

Entry 2:
This record from the Alexandria database describes a relaxed structure of SeSO2. The functional is PBE.

a = 8.1274 Å, b = 8.1274 Å, c = 8.1274 Å
α = 20.19°, β = 20.19°, γ = 20.19°
Atoms (fractional coordinates):
S (0.0000, 0.0000, 0.0000)
O (0.9370, 0.9370, 0.9370)
O (0.0630, 0.0630, 0.0630)
Se (0.5000, 0.5000, 0.5000)

## Properties
density of states at the Fermi level = 1.63 states/eV/cell
excess energy over the best structure of this formula in the dataset = 0.0 meV per atom

Entry 3:
This record from the Alexandria database describes a relaxed structure of TiNb2Si. The functional is PBE.

a = 2.9768 Å, b = 2.9768 Å, c = 9.1616 Å
α = 80.65°, β = 80.65°, γ = 60.00°
Atoms (fractional coordinates):
Nb (0.2546, 0.2546, 0.2363)
Nb (0.7454, 0.7454, 0.7637)
Si (0.0000, 0.0000, 0.0000)
Ti (0.5000, 0.5000, 0.5000)

## Properties
density of states at the Fermi level = 2.54 states/eV/cell
uncorrected energy = -8.359 eV per atom

Entry 4:
This record from the Alexandria database describes a relaxed structure of CeLuHgAu. The functional is PBE.

a = 5.2069 Å, b = 5.2069 Å, c = 5.2069 Å
α = 60.00°, β = 60.00°, γ = 60.00°
Site moments in Bohr magnetons follow the coordinates.
Atoms (fractional coordinates):
Lu (0.2500, 0.2500, 0.2500)  0.00
Au (0.5000, 0.5000, 0.5000)  -0.01
Hg (0.0000, 0.0000, 0.0000)  -0.01
Ce (0.7500, 0.7500, 0.7500)  0.63

## Properties
formation energy = -0.53 eV/atom
density of states at the Fermi level = 6.92 states/eV/cell